A plane-wave DFT calculation with SCAN was carried out for Sr2LiGe3 at its PBEsol-relaxed geometry.

Geometry as CIF:
```
data_Sr2LiGe3
_symmetry_space_group_name_H-M 'P 1'
_symmetry_Int_Tables_number 1
_cell_length_a 8.620
_cell_length_b 8.644
_cell_length_c 9.990
_cell_angle_alpha 77.58
_cell_angle_beta 64.44
_cell_angle_gamma 60.09
loop_
_symmetry_equiv_pos_as_xyz
'x,y,z'
loop_
_atom_site_label
_atom_site_type_symbol
_atom_site_fract_x
_atom_site_fract_y
_atom_site_fract_z
_atom_site_occupancy
Ge1 Ge 0.337 0.834 0.995 1
Sr1 Sr 0.128 0.500 0.744 1
Ge2 Ge 0.829 0.834 0.005 1
Ge3 Ge 0.413 0.666 0.505 1
Ge4 Ge 0.417 0.167 0.500 1
Sr2 Sr 0.874 0.500 0.252 1
Sr3 Sr 0.622 0.000 0.756 1
Sr4 Sr 0.626 0.500 0.748 1
Ge5 Ge 0.082 0.334 0.505 1
Sr5 Sr 0.378 0.000 0.244 1
Li1 Li 0.167 0.666 0.000 1
Ge6 Ge 0.584 0.334 0.495 1
Ge7 Ge 0.166 0.166 0.005 1
Sr6 Sr 0.124 0.000 0.752 1
Ge8 Ge 0.667 0.667 0.000 1
Ge9 Ge 0.083 0.833 0.500 1
Li2 Li 0.583 0.834 0.500 1
Li3 Li 0.833 0.334 0.000 1
Ge10 Ge 0.921 0.666 0.495 1
Sr7 Sr 0.372 0.500 0.256 1
Li4 Li 0.917 0.166 0.500 1
Ge11 Ge 0.668 0.166 0.995 1
Ge12 Ge 0.333 0.333 0.000 1
Sr8 Sr 0.876 0.000 0.248 1
```

Calculated values
E above lowest polymorph: 0.012 eV per formula unit
total magnetic moment: 0.000 μB per atom
volume: 24.25 Å³/atom
space group: No. 70

***

A plane-wave DFT calculation with SCAN was carried out for Sr2LiGe3 at its PBEsol-relaxed geometry.

Geometry as CIF:
```
data_Sr2LiGe3
_symmetry_space_group_name_H-M 'P 1'
_symmetry_Int_Tables_number 1
_cell_length_a 6.252
_cell_length_b 6.252
_cell_length_c 8.619
_cell_angle_alpha 110.36
_cell_angle_beta 110.36
_cell_angle_gamma 92.34
loop_
_symmetry_equiv_pos_as_xyz
'x,y,z'
loop_
_atom_site_label
_atom_site_type_symbol
_atom_site_fract_x
_atom_site_fract_y
_atom_site_fract_z
_atom_site_occupancy
Ge1 Ge 0.832 0.832 0.166 1
Ge2 Ge 0.666 0.666 0.834 1
Li1 Li 0.666 0.666 0.333 1
Sr1 Sr 0.242 0.758 0.000 1
Sr2 Sr 0.758 0.242 0.000 1
Ge3 Ge 0.166 0.166 0.332 1
Ge4 Ge 0.168 0.168 0.834 1
Sr3 Sr 0.250 0.750 0.500 1
Ge5 Ge 0.334 0.334 0.166 1
Ge6 Ge 0.834 0.834 0.668 1
Sr4 Sr 0.750 0.250 0.500 1
Li2 Li 0.334 0.334 0.667 1
```

Calculated values
E above lowest polymorph: 0.000 eV per formula unit
total magnetic moment: 0.000 μB per atom
volume: 24.26 Å³/atom
space group: No. 69

***

A plane-wave DFT calculation with SCAN was carried out for Sr2LiGe3 at its PBEsol-relaxed geometry.

Geometry as CIF:
```
data_Sr2LiGe3
_symmetry_space_group_name_H-M 'P 1'
_symmetry_Int_Tables_number 1
_cell_length_a 4.565
_cell_length_b 11.013
_cell_length_c 11.738
_cell_angle_alpha 90.00
_cell_angle_beta 90.00
_cell_angle_gamma 90.00
loop_
_symmetry_equiv_pos_as_xyz
'x,y,z'
loop_
_atom_site_label
_atom_site_type_symbol
_atom_site_fract_x
_atom_site_fract_y
_atom_site_fract_z
_atom_site_occupancy
Ge1 Ge 0.500 0.532 0.399 1
Ge2 Ge 0.000 0.032 0.101 1
Sr1 Sr 0.000 0.950 0.349 1
Ge3 Ge 0.500 0.890 0.542 1
Li1 Li 0.000 0.639 0.285 1
Ge4 Ge 0.500 0.468 0.601 1
Li2 Li 0.000 0.361 0.715 1
Li3 Li 0.500 0.861 0.785 1
Ge5 Ge 0.000 0.746 0.863 1
Ge6 Ge 0.000 0.254 0.137 1
Ge7 Ge 0.500 0.246 0.637 1
Sr2 Sr 0.000 0.321 0.428 1
Ge8 Ge 0.000 0.610 0.042 1
Ge9 Ge 0.000 0.390 0.958 1
Sr3 Sr 0.000 0.050 0.651 1
Li4 Li 0.500 0.139 0.215 1
Ge10 Ge 0.500 0.110 0.458 1
Sr4 Sr 0.500 0.550 0.849 1
Ge11 Ge 0.500 0.754 0.363 1
Ge12 Ge 0.000 0.968 0.899 1
Sr5 Sr 0.500 0.179 0.928 1
Sr6 Sr 0.500 0.821 0.072 1
Sr7 Sr 0.000 0.679 0.572 1
Sr8 Sr 0.500 0.450 0.151 1
```

Calculated values
E above lowest polymorph: 0.011 eV per formula unit
total magnetic moment: 0.000 μB per atom
volume: 24.59 Å³/atom
space group: No. 58

***

A plane-wave DFT calculation with SCAN was carried out for SrLi3Ge at its PBEsol-relaxed geometry.

Geometry as CIF:
```
data_SrLi3Ge
_symmetry_space_group_name_H-M 'P 1'
_symmetry_Int_Tables_number 1
_cell_length_a 4.897
_cell_length_b 4.897
_cell_length_c 4.897
_cell_angle_alpha 90.00
_cell_angle_beta 90.00
_cell_angle_gamma 90.00
loop_
_symmetry_equiv_pos_as_xyz
'x,y,z'
loop_
_atom_site_label
_atom_site_type_symbol
_atom_site_fract_x
_atom_site_fract_y
_atom_site_fract_z
_atom_site_occupancy
Sr1 Sr 0.500 0.500 0.500 1
Li1 Li 0.000 0.500 0.000 1
Ge1 Ge 0.000 0.000 0.000 1
Li2 Li 0.500 0.000 0.000 1
Li3 Li 0.000 0.000 0.500 1
```

Calculated values
total magnetic moment: 0.000 μB per atom
volume: 23.49 Å³/atom
space group: No. 221

***

A plane-wave DFT calculation with SCAN was carried out for Sr2LiTcGe at its PBEsol-relaxed geometry.

Geometry as CIF:
```
data_Sr2LiTcGe
_symmetry_space_group_name_H-M 'P 1'
_symmetry_Int_Tables_number 1
_cell_length_a 4.818
_cell_length_b 5.354
_cell_length_c 5.354
_cell_angle_alpha 90.00
_cell_angle_beta 90.00
_cell_angle_gamma 90.00
loop_
_symmetry_equiv_pos_as_xyz
'x,y,z'
loop_
_atom_site_label
_atom_site_type_symbol
_atom_site_fract_x
_atom_site_fract_y
_atom_site_fract_z
_atom_site_occupancy
Li1 Li 0.500 0.000 0.000 1
Ge1 Ge 0.500 0.500 0.500 1
Tc1 Tc 0.000 0.000 0.000 1
Sr1 Sr 0.000 0.000 0.500 1
Sr2 Sr 0.000 0.500 0.000 1
```

Calculated values
total magnetic moment: 0.001 μB per atom
volume: 27.62 Å³/atom
space group: No. 123

***

A plane-wave DFT calculation with SCAN was carried out for Li2TaGe2 at its PBEsol-relaxed geometry.

Geometry as CIF:
```
data_Li2TaGe2
_symmetry_space_group_name_H-M 'P 1'
_symmetry_Int_Tables_number 1
_cell_length_a 4.200
_cell_length_b 4.200
_cell_length_c 4.983
_cell_angle_alpha 114.93
_cell_angle_beta 114.93
_cell_angle_gamma 90.00
loop_
_symmetry_equiv_pos_as_xyz
'x,y,z'
loop_
_atom_site_label
_atom_site_type_symbol
_atom_site_fract_x
_atom_site_fract_y
_atom_site_fract_z
_atom_site_occupancy
Ge1 Ge 0.250 0.750 0.500 1
Li1 Li 0.623 0.623 0.247 1
Ge2 Ge 0.750 0.250 0.500 1
Ta1 Ta 0.000 0.000 0.000 1
Li2 Li 0.377 0.377 0.753 1
```

Calculated values
total magnetic moment: 0.000 μB per atom
volume: 14.12 Å³/atom
space group: No. 139

***

A plane-wave DFT calculation with SCAN was carried out for LiTbGe at its PBEsol-relaxed geometry.

Geometry as CIF:
```
data_LiTbGe
_symmetry_space_group_name_H-M 'P 1'
_symmetry_Int_Tables_number 1
_cell_length_a 4.234
_cell_length_b 6.983
_cell_length_c 6.983
_cell_angle_alpha 120.00
_cell_angle_beta 90.00
_cell_angle_gamma 90.00
loop_
_symmetry_equiv_pos_as_xyz
'x,y,z'
loop_
_atom_site_label
_atom_site_type_symbol
_atom_site_fract_x
_atom_site_fract_y
_atom_site_fract_z
_atom_site_occupancy
Li1 Li 0.500 0.767 0.000 1
Tb1 Tb 0.000 0.426 0.000 1
Li2 Li 0.500 0.233 0.233 1
Tb2 Tb 0.000 0.574 0.574 1
Ge1 Ge 0.500 0.333 0.667 1
Li3 Li 0.500 0.000 0.767 1
Ge2 Ge 0.000 0.000 0.000 1
Ge3 Ge 0.500 0.667 0.333 1
Tb3 Tb 0.000 0.000 0.426 1
```

Calculated values
total magnetic moment: 0.000 μB per atom
volume: 19.87 Å³/atom
space group: No. 189

***

A plane-wave DFT calculation with SCAN was carried out for Li2Ti2Ge at its PBEsol-relaxed geometry.

Geometry as CIF:
```
data_Li2Ti2Ge
_symmetry_space_group_name_H-M 'P 1'
_symmetry_Int_Tables_number 1
_cell_length_a 3.784
_cell_length_b 3.784
_cell_length_c 5.908
_cell_angle_alpha 108.67
_cell_angle_beta 108.67
_cell_angle_gamma 90.00
loop_
_symmetry_equiv_pos_as_xyz
'x,y,z'
loop_
_atom_site_label
_atom_site_type_symbol
_atom_site_fract_x
_atom_site_fract_y
_atom_site_fract_z
_atom_site_occupancy
Li1 Li 0.583 0.583 0.167 1
Ti1 Ti 0.250 0.750 0.500 1
Li2 Li 0.417 0.417 0.833 1
Ti2 Ti 0.750 0.250 0.500 1
Ge1 Ge 0.000 0.000 0.000 1
```

Calculated values
total magnetic moment: 0.000 μB per atom
volume: 15.08 Å³/atom
space group: No. 139

***

| no. | energy of formation from the pure elements (eV/atom) |
| --- | --- |
| 1 | -0.62 |
| 2 | -0.62 |
| 3 | -0.62 |
| 4 | -0.22 |
| 5 | 0.86 |
| 6 | 0.18 |
| 7 | -0.77 |
| 8 | 0.41 |